{"formula": "Ba3SnAu3", "functional": "PBE", "state": "relaxed", "e_form_mev_per_atom": -674, "mass_density_g_cm3": 8.00, "dos_at_fermi_per_ev_cell": 8.28, "lattice_angstrom": [[4.5997, 0.0000, 0.6929], [2.2549, 6.2883, 0.6450], [-0.0728, 0.2191, 16.0971]], "species": ["Au", "Sn", "Au", "Ba", "Ba", "Ba", "Au", "Sn", "Au", "Au", "Ba", "Ba", "Au", "Ba"], "fractional_positions": [[0.9843, 0.8066, 0.2247], [0.2454, 0.9237, 0.5856], [0.0157, 0.1934, 0.7753], [0.7322, 0.7692, 0.7664], [0.3945, 0.2865, 0.9244], [0.6055, 0.7135, 0.0756], [0.8740, 0.7144, 0.5377], [0.7546, 0.0763, 0.4144], [0.8905, 0.1409, 0.0780], [0.1095, 0.8591, 0.9220], [0.5184, 0.3437, 0.6195], [0.2678, 0.2308, 0.2336], [0.1260, 0.2856, 0.4623], [0.4816, 0.6563, 0.3805]]}